Record 1
Entry from Alexandria: crystalline Sm4TmSc at its relaxed geometry (GGA-PBE).

```
Sm4TmSc
1.0
5.6839 -5.7022 0.0000
5.6839 5.7022 0.0000
0.0000 0.0000 3.4263
Sm Tm Sc
4 1 1
Direct
0.2333 0.7667 0.0000
0.2548 0.2548 0.5000
0.7452 0.7452 0.5000
0.7667 0.2333 0.0000
0.5000 0.5000 0.0000
0.0000 0.0000 0.5000
```

## Properties
The value obtained for the formation energy is 0.607 eV per atom.

---

Record 2
Entry from Alexandria: crystalline Li2AcSN at its relaxed geometry (GGA-PBE).

```
Li2AcSN
1.0
-3.0117 3.0117 5.0847
3.0117 -3.0117 5.0847
3.0117 3.0117 -5.0847
Li Ac S N
4 2 2 2
Direct
0.1922 0.6922 0.8844
0.3078 0.1922 0.5000
0.6922 0.8078 0.5000
0.8078 0.3078 0.1156
0.2564 0.2564 0.0000
0.7564 0.7564 0.0000
0.2860 0.7860 0.5000
0.7860 0.2860 0.5000
0.0135 0.0135 0.0000
0.5135 0.5135 0.0000
```

## Properties
As for the formation energy without anion corrections: -1079 meV/atom.

---

Record 3
Entry from Alexandria: crystalline TbNd2YTe6 at its relaxed geometry (GGA-PBE).

```
TbNd2YTe6
1.0
3.9248 2.2660 7.0967
-3.9248 2.2660 7.0967
0.0000 -4.5320 7.0967
Tb Nd Y Te
1 2 1 6
Direct
0.0000 0.0000 0.0000
0.3104 0.3104 0.3104
0.8102 0.8102 0.8102
0.5001 0.5001 0.5001
0.1075 0.3931 0.7263
0.2265 0.8930 0.6064
0.3931 0.7263 0.1075
0.6064 0.2265 0.8930
0.7263 0.1075 0.3931
0.8930 0.6064 0.2265
```

## Properties
As for the formation energy without anion corrections: -1379 meV/atom.